No. 1
{
  "formula": "Sn4S3O",
  "functional": "PBE",
  "state": "relaxed",
  "lattice": [[-0.153, 4.565, -3.983], [-6.501, 1.890, 2.416], [4.200, 5.945, 6.652]],
  "species": ["Sn", "Sn", "Sn", "Sn", "Sn", "Sn", "Sn", "Sn", "S", "S", "S", "S", "S", "S", "O", "O"],
  "fractional_positions": [[0.546, 0.242, 0.000], [0.083, 0.891, 0.000], [0.544, 0.696, 0.309], [0.046, 0.758, 0.500], [0.583, 0.109, 0.500], [0.044, 0.304, 0.191], [0.044, 0.304, 0.809], [0.544, 0.696, 0.691], [0.658, 0.898, 0.000], [0.133, 0.664, 0.212], [0.158, 0.102, 0.500], [0.633, 0.336, 0.288], [0.633, 0.336, 0.712], [0.133, 0.664, 0.788], [0.374, 0.651, 0.500], [0.874, 0.349, 0.000]],
  "crystal_system": "orthorhombic",
  "sg": "Pmn2_1, No. 31",
  "raw_formation_energy_kj_per_mol_atoms": -55.78
}

=====

No. 2
{
  "formula": "Sn2S3O12",
  "functional": "PBE",
  "state": "relaxed",
  "lattice": [[9.740, 0.116, 0.079], [5.881, 7.765, 0.079], [5.881, 2.967, 7.176]],
  "species": ["O", "O", "O", "O", "O", "O", "O", "O", "O", "O", "O", "O", "O", "O", "O", "O", "O", "O", "O", "O", "O", "O", "O", "O", "S", "S", "S", "S", "S", "S", "Sn", "Sn", "Sn", "Sn"],
  "fractional_positions": [[0.479, 0.161, 0.521], [0.424, 0.947, 0.242], [0.143, 0.840, 0.246], [0.754, 0.857, 0.160], [0.161, 0.521, 0.479], [0.475, 0.858, 0.785], [0.479, 0.521, 0.839], [0.947, 0.242, 0.424], [0.525, 0.142, 0.215], [0.576, 0.053, 0.758], [0.839, 0.479, 0.521], [0.858, 0.785, 0.475], [0.242, 0.424, 0.947], [0.521, 0.839, 0.479], [0.758, 0.576, 0.053], [0.142, 0.215, 0.525], [0.857, 0.160, 0.754], [0.521, 0.479, 0.161], [0.785, 0.475, 0.858], [0.160, 0.754, 0.857], [0.246, 0.143, 0.840], [0.053, 0.758, 0.576], [0.215, 0.525, 0.142], [0.840, 0.246, 0.143], [0.271, 0.557, 0.943], [0.557, 0.943, 0.271], [0.729, 0.443, 0.057], [0.057, 0.729, 0.443], [0.443, 0.057, 0.729], [0.943, 0.271, 0.557], [0.861, 0.861, 0.861], [0.661, 0.661, 0.661], [0.139, 0.139, 0.139], [0.339, 0.339, 0.339]],
  "dos_ef_per_ev_atom": 0.00,
  "crystal_system": "trigonal",
  "relative_energy_mev_per_atom": 0.0,
  "sg": "R-3, No. 148",
  "raw_formation_energy_kj_per_mol_atoms": -130.23
}

=====

No. 3
{
  "formula": "SnSO2",
  "functional": "PBE",
  "state": "relaxed",
  "lattice": [[0.081, 0.349, 6.912], [2.551, -1.654, 6.218], [2.974, 1.569, 6.050]],
  "species": ["Sn", "O", "O", "S"],
  "fractional_positions": [[0.000, 0.000, 0.000], [0.118, 0.118, 0.118], [0.882, 0.882, 0.882], [0.500, 0.500, 0.500]],
  "dos_ef_per_ev_atom": 0.34,
  "crystal_system": "trigonal",
  "relative_energy_mev_per_atom": 504.3,
  "sg": "R-3m, No. 166",
  "raw_formation_energy_kj_per_mol_atoms": 1.65
}